1.
Below is a relaxed structure of Na4ZrF2, with properties calculated at the PBE level.

## Properties
energy relative to the elements, uncorrected: -257 meV/atom

a = 5.973 Å, b = 5.973 Å, c = 13.739 Å
α = 90.00°, β = 90.00°, γ = 90.00°
Space group I4/mmm (No. 139)
Unique sites:
Na1 0.000 0.000 0.247 [4 per cell]
Na2 0.000 0.500 0.000 [4 per cell]
Zr1 0.000 0.000 0.000 [2 per cell]
F1 0.000 0.000 0.396 [4 per cell]


2.
Below is a relaxed structure of Sm5Dy4Y3, with properties calculated at the PBE level.

## Properties
E: -61.21 eV/f.u.

a = 6.208 Å, b = 7.170 Å, c = 8.777 Å
α = 90.07°, β = 90.13°, γ = 90.15°
Space group P-1 (No. 2)
Unique sites:
Sm1 0.000 0.000 0.000 [1 per cell]
Sm2 0.334 0.500 0.334 [2 per cell]
Sm3 0.499 0.751 0.999 [2 per cell]
Dy1 0.167 0.751 0.665 [2 per cell]
Dy2 0.334 0.000 0.334 [2 per cell]
Y1 0.000 0.500 0.000 [1 per cell]
Y2 0.166 0.249 0.665 [2 per cell]


3.
Below is a relaxed structure of Hf3TiSe, with properties calculated at the PBE level.

## Properties
energy relative to the elements, uncorrected: 857 meV/atom

a = 4.938 Å, b = 4.938 Å, c = 4.938 Å
α = 90.00°, β = 90.00°, γ = 90.00°
Space group Pm-3m (No. 221)
Unique sites:
Hf1 0.000 0.000 0.500 [3 per cell]
Ti1 0.000 0.000 0.000 [1 per cell]
Se1 0.500 0.500 0.500 [1 per cell]


4.
Below is a relaxed structure of Re3Se, with properties calculated at the PBE level.

## Properties
energy relative to the elements, uncorrected: 608 meV/atom

a = 4.516 Å, b = 4.516 Å, c = 2.995 Å
α = 90.00°, β = 90.00°, γ = 90.00°
Space group P4/mmm (No. 123)
Unique sites:
Re1 0.000 0.000 0.000 [1 per cell]
Re2 0.000 0.500 0.500 [2 per cell]
Se1 0.500 0.500 0.000 [1 per cell]


5.
Below is a relaxed structure of Mn2PPt, with properties calculated at the PBE level.

## Properties
E: -30.37 eV/f.u.

a = 5.058 Å, b = 6.867 Å, c = 3.149 Å
α = 90.00°, β = 90.15°, γ = 90.00°
Space group C2/m (No. 12)
Unique sites:
Mn1 0.250 0.250 0.000 [4 per cell]
P1 0.000 0.000 0.500 [2 per cell]
Pt1 0.000 0.500 0.500 [2 per cell]


6.
Below is a relaxed structure of Ac5NdPb4, with properties calculated at the PBE level.

## Properties
E: -43.79 eV/f.u.

a = 17.811 Å, b = 5.753 Å, c = 7.795 Å
α = 90.00°, β = 90.76°, γ = 90.00°
Space group C2/m (No. 12)
Unique sites:
Ac1 0.000 0.000 0.000 [2 per cell]
Ac2 0.165 0.500 0.999 [4 per cell]
Ac3 0.166 0.500 0.506 [4 per cell]
Nd1 0.000 0.000 0.500 [2 per cell]
Pb1 0.008 0.500 0.260 [4 per cell]
Pb2 0.173 0.000 0.748 [4 per cell]


7.
Below is a relaxed structure of KLa2Sc2, with properties calculated at the PBE level.

## Properties
E: -22.03 eV/f.u.

a = 10.041 Å, b = 10.041 Å, c = 3.458 Å
α = 90.00°, β = 90.00°, γ = 90.00°
Space group P4/mbm (No. 127)
Unique sites:
K1 0.000 0.000 0.000 [2 per cell]
La1 0.180 0.320 0.500 [4 per cell]
Sc1 0.109 0.609 0.000 [4 per cell]


8.
Below is a relaxed structure of Sb3Pd8Se2, with properties calculated at the PBE level.

## Properties
energy relative to the elements, uncorrected: -163 meV/atom

a = 5.5451 Å, b = 5.5451 Å, c = 27.4964 Å
α = 90.00°, β = 90.00°, γ = 120.00°
Space group R-3m (No. 166, hexagonal axes)
Unique sites:
Sb1 0.0000 0.0000 0.0000 [3 per cell]
Sb2 0.0000 0.0000 0.1862 [6 per cell]
Pd1 0.0000 0.0000 0.2779 [6 per cell]
Pd2 0.0022 0.5011 0.7728 [18 per cell]
Se1 0.0000 0.0000 0.3677 [6 per cell]


9.
Below is a relaxed structure of K2Ti2Cl7, with properties calculated at the PBE level.

## Properties
energy relative to the elements, uncorrected: -1617 meV/atom

a = 7.465 Å, b = 14.217 Å, c = 7.050 Å
α = 90.00°, β = 105.02°, γ = 90.00°
Space group C2/m (No. 12)
Unique sites:
K1 0.000 0.192 0.000 [4 per cell]
Ti1 0.193 0.000 0.591 [4 per cell]
Cl1 0.000 0.500 0.500 [2 per cell]
Cl2 0.064 0.000 0.251 [4 per cell]
Cl3 0.236 0.349 0.270 [8 per cell]


10.
Below is a relaxed structure of Mg2MnRh, with properties calculated at the PBE level.

## Properties
E: -20.17 eV/f.u.

a = 3.067 Å, b = 4.470 Å, c = 4.728 Å
α = 90.00°, β = 90.00°, γ = 90.00°
Space group Pmm2 (No. 25)
Unique sites:
Mg1 0.000 0.000 0.000 [1 per cell]
Mg2 0.000 0.500 0.378 [1 per cell]
Mn1 0.500 0.500 0.852 [1 per cell]
Rh1 0.500 0.000 0.518 [1 per cell]


11.
Below is a relaxed structure of As2IrI, with properties calculated at the PBE level.

## Properties
energy relative to the elements, uncorrected: 881 meV/atom

a = 6.789 Å, b = 6.789 Å, c = 6.789 Å
α = 90.00°, β = 90.00°, γ = 90.00°
Space group Fm-3m (No. 225)
Unique sites:
As1 0.250 0.250 0.250 [8 per cell]
Ir1 0.000 0.000 0.000 [4 per cell]
I1 0.000 0.000 0.500 [4 per cell]


12.
Below is a relaxed structure of NiP2WCl, with properties calculated at the PBE level.

## Properties
energy relative to the elements, uncorrected: 1068 meV/atom

a = 4.378 Å, b = 4.378 Å, c = 4.422 Å
α = 90.00°, β = 90.00°, γ = 90.00°
Space group P4/mmm (No. 123)
Unique sites:
Ni1 0.000 0.000 0.000 [1 per cell]
P1 0.000 0.500 0.000 [2 per cell]
W1 0.500 0.500 0.500 [1 per cell]
Cl1 0.000 0.000 0.500 [1 per cell]


13.
Below is a relaxed structure of LaCe2PrPt4, with properties calculated at the PBE level.

## Properties
E: -54.22 eV/f.u.

a = 5.929 Å, b = 5.929 Å, c = 11.867 Å
α = 90.00°, β = 90.00°, γ = 90.00°
Space group I4/mmm (No. 139)
Unique sites:
La1 0.000 0.000 0.000 [2 per cell]
Ce1 0.000 0.500 0.250 [4 per cell]
Pr1 0.000 0.000 0.500 [2 per cell]
Pt1 0.000 0.000 0.250 [4 per cell]
Pt2 0.000 0.500 0.000 [4 per cell]


14.
Below is a relaxed structure of Na3MgNb, with properties calculated at the PBE level.

## Properties
E: -9.36 eV/f.u.

a = 5.943 Å, b = 5.943 Å, c = 5.943 Å
α = 90.00°, β = 90.00°, γ = 90.00°
Space group Pm-3m (No. 221)
Unique sites:
Na1 0.000 0.000 0.500 [3 per cell]
Mg1 0.500 0.500 0.500 [1 per cell]
Nb1 0.000 0.000 0.000 [1 per cell]


15.
Below is a relaxed structure of LiCaHg, with properties calculated at the PBE level.

## Properties
E: -5.29 eV/f.u.

a = 4.7868 Å, b = 4.7868 Å, c = 3.8517 Å
α = 90.00°, β = 90.00°, γ = 120.00°
Space group P-6m2 (No. 187)
Unique sites:
Li1 0.0000 0.0000 0.0000 [1 per cell]
Ca1 0.6667 0.3333 0.5000 [1 per cell]
Hg1 0.3333 0.6667 0.0000 [1 per cell]


16.
Below is a relaxed structure of InPt, with properties calculated at the PBE level.

## Properties
E: -9.46 eV/f.u.

a = 3.710 Å, b = 3.710 Å, c = 5.610 Å
α = 90.00°, β = 90.00°, γ = 90.00°
Space group P4/nmm (No. 129, origin choice 2)
Unique sites:
In1 0.250 0.250 0.172 [2 per cell]
Pt1 0.250 0.250 0.667 [2 per cell]


17.
Below is a relaxed structure of LuAlNiOs, with properties calculated at the PBE level.

## Properties
E: -26.77 eV/f.u.

a = 6.309 Å, b = 6.309 Å, c = 6.309 Å
α = 90.00°, β = 90.00°, γ = 90.00°
Space group F-43m (No. 216)
Unique sites:
Lu1 0.000 0.000 0.000 [4 per cell]
Al1 0.000 0.000 0.500 [4 per cell]
Ni1 0.250 0.250 0.750 [4 per cell]
Os1 0.250 0.250 0.250 [4 per cell]


18.
Below is a relaxed structure of Ba2SnHOs, with properties calculated at the PBE level.

## Properties
E: -20.25 eV/f.u.

a = 5.164 Å, b = 5.164 Å, c = 4.668 Å
α = 90.00°, β = 90.00°, γ = 90.00°
Space group P4/mmm (No. 123)
Unique sites:
Ba1 0.000 0.500 0.000 [2 per cell]
Sn1 0.000 0.000 0.500 [1 per cell]
H1 0.000 0.000 0.000 [1 per cell]
Os1 0.500 0.500 0.500 [1 per cell]


19.
Below is a relaxed structure of CdW2, with properties calculated at the PBE level.

## Properties
E: -25.38 eV/f.u.

a = 4.6451 Å, b = 4.6451 Å, c = 2.7611 Å
α = 90.00°, β = 90.00°, γ = 120.00°
Space group P-3m1 (No. 164)
Unique sites:
Cd1 0.0000 0.0000 0.0000 [1 per cell]
W1 0.3333 0.6667 0.3691 [2 per cell]


20.
Below is a relaxed structure of La2Be4AlGe3, with properties calculated at the PBE level.

## Properties
E: -46.29 eV/f.u.

a = 4.140 Å, b = 4.140 Å, c = 9.837 Å
α = 90.00°, β = 90.00°, γ = 90.00°
Space group P-4m2 (No. 115)
Unique sites:
La1 0.000 0.500 0.245 [2 per cell]
Be1 0.000 0.000 0.000 [1 per cell]
Be2 0.000 0.500 0.633 [2 per cell]
Be3 0.500 0.500 0.000 [1 per cell]
Al1 0.000 0.000 0.500 [1 per cell]
Ge1 0.000 0.500 0.874 [2 per cell]
Ge2 0.500 0.500 0.500 [1 per cell]